[1]
A crystal of YCrCd relaxed with PBEsol. Source: the Alexandria database, functional SCAN.

## Properties
The calculated formation energy comes out at 0.57 eV per formula unit. As for the raw total energy: -76.068 eV for the cell shown. The density is 5.875 g/cm3.

Unit cell a=4.6608 b=4.6608 c=4.6608 alpha=60.00 beta=60.00 gamma=60.00
With the nearest neighbours (Å) after each atom.
Fractional positions:
Y 0.0000 0.0000 0.0000  4 Cr 2.85
Cd 0.5000 0.5000 0.5000  4 Cr 2.85
Cr 0.2500 0.2500 0.2500  4 Cd 2.85, 4 Y 2.85

---

[2]
A crystal of CoSb3Os relaxed with PBEsol. Source: the Alexandria database, functional SCAN.

## Properties
The formation energy (no corrections) is 1037 meV/atom. As for the raw total energy: -195.781 eV for the cell shown. The density is 7.873 g/cm3.

Unit cell a=5.0605 b=5.0605 c=5.0605 alpha=90.00 beta=90.00 gamma=90.00
With the nearest neighbours (Å) after each atom.
Fractional positions:
Sb 0.5000 0.0000 0.0000  2 Os 2.53
Sb 0.0000 0.0000 0.5000  2 Os 2.53
Os 0.0000 0.0000 0.0000  6 Sb 2.53
Sb 0.0000 0.5000 0.0000  2 Os 2.53
Co 0.5000 0.5000 0.5000  12 Sb 3.58

---

[3]
A crystal of In2BAuBr relaxed with PBEsol. Source: the Alexandria database, functional SCAN.

## Properties
The formation energy (no corrections) is 54 meV/atom. As for the raw total energy: -162.548 eV for the cell shown. The density is 8.007 g/cm3.

Unit cell a=4.2200 b=5.0420 c=5.0420 alpha=90.00 beta=90.00 gamma=90.00
With the nearest neighbours (Å) after each atom.
Fractional positions:
Au 0.5000 0.0000 0.0000  2 B 2.11
In 0.0000 0.0000 0.5000  2 B 2.52
In 0.0000 0.5000 0.0000  2 B 2.52
Br 0.5000 0.5000 0.5000  8 In 3.29, 4 Au 3.57
B 0.0000 0.0000 0.0000  2 Au 2.11

---

[4]
A crystal of SrOsRu2 relaxed with PBEsol. Source: the Alexandria database, functional SCAN.

## Properties
The calculated formation energy comes out at 2.74 eV per formula unit. As for the raw total energy: -161.070 eV for the cell shown. The density is 11.218 g/cm3.

Unit cell a=2.8112 b=4.2371 c=6.1284 alpha=90.00 beta=103.26 gamma=90.00
With the nearest neighbours (Å) after each atom.
Fractional positions:
Sr 0.0696 0.0000 0.1393  2 Sr 2.81, 5 Ru 2.95-3.08
Os 0.3965 0.5000 0.7931  6 Ru 2.58-2.69, 2 Os 2.81
Ru 0.8227 0.0000 0.6454  2 Ru 2.48, 4 Os 2.69
Ru 0.7150 0.5000 0.4301  2 Ru 2.48, 2 Os 2.58